(1)
Below is crystalline Y2Tl5Cd at its relaxed geometry, with properties calculated at the PBE-GGA level.

Unit cell a=4.7946 b=6.6358 c=13.3113 alpha=90.00 beta=90.00 gamma=90.00
Atoms (fractional coordinates):
Tl  0.0000  0.9846  0.7462
Tl  0.0000  0.0000  0.0000
Y  0.5000  0.7639  0.1283
Y  0.5000  0.2639  0.3717
Cd  0.0000  0.5000  0.0000
Tl  0.5000  0.7670  0.3804
Tl  0.0000  0.0154  0.2538
Tl  0.0000  0.4846  0.7538
Tl  0.0000  0.5154  0.2462
Tl  0.5000  0.7330  0.8804
Y  0.5000  0.7361  0.6283
Y  0.5000  0.2361  0.8717
Tl  0.0000  0.5000  0.5000
Cd  0.0000  0.0000  0.5000
Tl  0.5000  0.2330  0.6196
Tl  0.5000  0.2670  0.1196

## Properties
* calculated formation energy: -253 meV per atom
* total magnetization: 0.0 μB/cell

(2)
Below is crystalline YTlCd at its relaxed geometry, with properties calculated at the PBE-GGA level.

Unit cell a=3.6001 b=8.7095 c=4.9654 alpha=90.00 beta=90.00 gamma=90.09
Atoms (fractional coordinates):
Tl  0.6281  0.2128  0.5720
Y  0.0474  0.0414  0.0720
Cd  0.5139  0.3801  0.0720
Tl  0.4669  0.8701  0.5720
Y  0.0473  0.5415  0.5720
Cd  0.5807  0.7030  0.0720

## Properties
* calculated formation energy: -277 meV per atom
* total magnetization: 0.0 μB/cell

(3)
Below is crystalline Y8TlCd2 at its relaxed geometry, with properties calculated at the PBE-GGA level.

Unit cell a=5.3280 b=8.5766 c=8.6246 alpha=118.89 beta=107.99 gamma=90.00
Atoms (fractional coordinates):
Y  0.9331  0.2809  0.8662
Y  0.5952  0.4559  0.1904
Y  0.3179  0.0472  0.6358
Y  0.1402  0.1889  0.2804
Y  0.0669  0.7191  0.1338
Y  0.8598  0.8111  0.7196
Tl  0.5000  0.0000  0.0000
Cd  0.7767  0.3859  0.5535
Cd  0.2233  0.6141  0.4465
Y  0.6821  0.9528  0.3642
Y  0.4048  0.5441  0.8096

## Properties
* calculated formation energy: -195 meV per atom
* total magnetization: 0.0 μB/cell

(4)
Below is crystalline Y5Tl2Cd2 at its relaxed geometry, with properties calculated at the PBE-GGA level.

Unit cell a=7.9149 b=8.0730 c=9.0910 alpha=116.36 beta=90.00 gamma=90.00
Atoms (fractional coordinates):
Y  0.3276  0.6782  0.7247
Tl  0.3707  0.1296  0.0000
Y  0.6724  0.3218  0.2753
Y  0.8276  0.8218  0.2753
Y  0.0000  0.0000  0.0000
Y  0.5000  0.5000  0.0000
Cd  0.5000  0.2879  0.5757
Tl  0.1293  0.6296  0.0000
Cd  0.0000  0.7879  0.5757
Y  0.6724  0.0465  0.7247
Tl  0.6293  0.8704  0.0000
Tl  0.8707  0.3704  0.0000
Cd  0.5000  0.7121  0.4243
Cd  0.0000  0.2121  0.4243
Y  0.3276  0.9535  0.2753
Y  0.1724  0.4535  0.2753
Y  0.1724  0.1782  0.7247
Y  0.8276  0.5465  0.7247

## Properties
* calculated formation energy: -285 meV per atom
* total magnetization: 0.0 μB/cell

(5)
Below is crystalline Y4TlCd3 at its relaxed geometry, with properties calculated at the PBE-GGA level.

Unit cell a=3.7587 b=3.7587 c=15.0842 alpha=90.00 beta=90.00 gamma=90.00
Atoms (fractional coordinates):
Y  0.0000  0.0000  0.6243
Y  0.0000  0.0000  0.1291
Y  0.0000  0.0000  0.8709
Tl  0.5000  0.5000  0.0000
Y  0.0000  0.0000  0.3757
Cd  0.5000  0.5000  0.7456
Cd  0.5000  0.5000  0.2544
Cd  0.5000  0.5000  0.5000

## Properties
* calculated formation energy: -362 meV per atom
* total magnetization: 0.0 μB/cell

(6)
Below is crystalline YTl2Cd2 at its relaxed geometry, with properties calculated at the PBE-GGA level.

Unit cell a=4.4665 b=4.4665 c=7.4223 alpha=72.49 beta=72.49 gamma=90.00
Atoms (fractional coordinates):
Y  0.0000  0.0000  0.0000
Tl  0.3942  0.3942  0.2116
Cd  0.7500  0.2500  0.5000
Tl  0.6058  0.6058  0.7884
Cd  0.2500  0.7500  0.5000

## Properties
* calculated formation energy: -6 meV per atom
* total magnetization: 0.0 μB/cell

(7)
Below is crystalline YTl2Cd at its relaxed geometry, with properties calculated at the PBE-GGA level.

Unit cell a=5.3625 b=5.3625 c=5.3625 alpha=60.00 beta=60.00 gamma=60.00
Atoms (fractional coordinates):
Tl  0.0000  0.0000  0.0000
Y  0.7500  0.7500  0.7500
Cd  0.5000  0.5000  0.5000
Tl  0.2500  0.2500  0.2500

## Properties
* calculated formation energy: -72 meV per atom
* total magnetization: 0.0 μB/cell

(8)
Below is crystalline Y3Tl3Cd at its relaxed geometry, with properties calculated at the PBE-GGA level.

Unit cell a=4.7047 b=6.2346 c=14.5269 alpha=82.71 beta=80.68 gamma=67.83
Atoms (fractional coordinates):
Y  0.7284  0.7620  0.7812
Y  0.3993  0.2783  0.9232
Tl  0.9973  0.7786  0.2268
Cd  0.7633  0.0996  0.3738
Tl  0.8630  0.7323  0.5416
Tl  0.8743  0.1780  0.0735
Tl  0.0027  0.2214  0.7732
Y  0.2716  0.2380  0.2188
Y  0.5275  0.3226  0.6224
Tl  0.1257  0.8220  0.9265
Tl  0.1370  0.2677  0.4584
Cd  0.2367  0.9004  0.6262
Y  0.6007  0.7217  0.0768
Y  0.4725  0.6774  0.3776

## Properties
* calculated formation energy: -309 meV per atom
* total magnetization: 0.0 μB/cell

(9)
Below is crystalline Y4Tl3Cd2 at its relaxed geometry, with properties calculated at the PBE-GGA level.

Unit cell a=5.2092 b=5.2106 c=10.4741 alpha=89.97 beta=90.00 gamma=60.01
Atoms (fractional coordinates):
Y  0.9998  0.0004  0.6725
Y  0.3335  0.3331  0.1106
Y  0.0002  0.9996  0.3275
Cd  0.6668  0.6663  0.2069
Tl  0.0000  0.0000  0.0000
Cd  0.3332  0.3337  0.7931
Y  0.6665  0.6669  0.8894
Tl  0.6666  0.6669  0.5602
Tl  0.3334  0.3331  0.4398

## Properties
* calculated formation energy: -266 meV per atom
* total magnetization: 0.0 μB/cell

(10)
Below is crystalline Y2TlCd3 at its relaxed geometry, with properties calculated at the PBE-GGA level.

Unit cell a=6.1050 b=6.1050 c=9.2985 alpha=102.70 beta=102.70 gamma=109.29
Atoms (fractional coordinates):
Y  0.7502  0.7502  0.0000
Cd  0.1641  0.1641  0.3283
Y  0.2498  0.2498  0.0000
Tl  0.6668  0.6668  0.3335
Cd  0.1649  0.6709  0.8358
Cd  0.8359  0.8359  0.6717
Cd  0.8351  0.3291  0.1642
Cd  0.3291  0.8351  0.1642
Y  0.2500  0.7500  0.5000
Tl  0.3332  0.3332  0.6665
Cd  0.6709  0.1649  0.8358
Y  0.7500  0.2500  0.5000

## Properties
* calculated formation energy: -318 meV per atom
* total magnetization: 0.1 μB/cell

(11)
Below is crystalline YTl2Cd at its relaxed geometry, with properties calculated at the PBE-GGA level.

Unit cell a=8.2881 b=8.2881 c=6.7208 alpha=51.93 beta=51.93 gamma=90.00
Atoms (fractional coordinates):
Tl  0.6461  0.1250  0.2500
Y  0.2500  0.7500  0.5000
Y  0.5000  0.5000  0.0000
Tl  0.1039  0.6250  0.2500
Cd  0.0000  0.0000  0.0000
Cd  0.7500  0.2500  0.5000
Tl  0.8750  0.8961  0.7500
Tl  0.3750  0.3539  0.7500

## Properties
* calculated formation energy: -70 meV per atom
* total magnetization: 0.0 μB/cell

(12)
Below is crystalline Y2Tl2Cd at its relaxed geometry, with properties calculated at the PBE-GGA level.

Unit cell a=7.8339 b=7.8339 c=4.4544 alpha=90.00 beta=90.00 gamma=90.00
Atoms (fractional coordinates):
Y  0.3313  0.1687  0.5000
Cd  0.5000  0.5000  0.0000
Tl  0.6360  0.1360  0.0000
Cd  0.0000  0.0000  0.0000
Tl  0.8640  0.6360  0.0000
Tl  0.3640  0.8640  0.0000
Y  0.6687  0.8313  0.5000
Tl  0.1360  0.3640  0.0000
Y  0.8313  0.3313  0.5000
Y  0.1687  0.6687  0.5000

## Properties
* calculated formation energy: -303 meV per atom
* total magnetization: 0.0 μB/cell

(13)
Below is crystalline YTlCd at its relaxed geometry, with properties calculated at the PBE-GGA level.

Unit cell a=6.7828 b=4.8434 c=9.4745 alpha=90.00 beta=90.00 gamma=90.00
Atoms (fractional coordinates):
Cd  0.3606  0.2500  0.0706
Tl  0.4155  0.2500  0.7467
Y  0.3466  0.2500  0.4032
Y  0.1534  0.7500  0.9032
Y  0.8466  0.2500  0.0968
Tl  0.5845  0.7500  0.2533
Cd  0.1394  0.7500  0.5706
Cd  0.8606  0.2500  0.4294
Y  0.6534  0.7500  0.5968
Tl  0.9155  0.2500  0.7533
Cd  0.6394  0.7500  0.9294
Tl  0.0845  0.7500  0.2467

## Properties
* calculated formation energy: -268 meV per atom
* total magnetization: 0.0 μB/cell

(14)
Below is crystalline YTl2Cd at its relaxed geometry, with properties calculated at the PBE-GGA level.

Unit cell a=4.7527 b=4.7522 c=4.5739 alpha=90.00 beta=90.00 gamma=90.00
Atoms (fractional coordinates):
Tl  0.0000  0.8750  0.1250
Tl  0.5000  0.3750  0.1250
Y  0.0000  0.3750  0.6249
Cd  0.5000  0.8750  0.6252

## Properties
* calculated formation energy: -257 meV per atom
* total magnetization: 0.0 μB/cell

(15)
Below is crystalline YTlCd at its relaxed geometry, with properties calculated at the PBE-GGA level.

Unit cell a=4.5933 b=4.5933 c=7.7378 alpha=90.00 beta=90.00 gamma=90.00
Atoms (fractional coordinates):
Tl  0.0000  0.0000  0.5000
Cd  0.5000  0.0000  0.2198
Y  0.5000  0.0000  0.8215
Y  0.0000  0.5000  0.1785
Cd  0.0000  0.5000  0.7802
Tl  0.5000  0.5000  0.5000

## Properties
* calculated formation energy: -174 meV per atom
* total magnetization: 0.0 μB/cell

(16)
Below is crystalline Y11Tl4Cd9 at its relaxed geometry, with properties calculated at the PBE-GGA level.

Unit cell a=3.7295 b=13.5253 c=13.5253 alpha=109.62 beta=90.00 gamma=90.00
Atoms (fractional coordinates):
Cd  0.5000  0.0274  0.1994
Cd  0.5000  0.5000  0.5000
Y  0.0000  0.4074  0.0636
Cd  0.5000  0.8006  0.9726
Y  0.0000  0.0000  0.0000
Tl  0.5000  0.2643  0.4407
Cd  0.5000  0.6214  0.1444
Cd  0.5000  0.1994  0.0274
Cd  0.5000  0.3786  0.8556
Tl  0.5000  0.4407  0.2643
Cd  0.5000  0.1444  0.6214
Y  0.0000  0.7611  0.7611
Y  0.0000  0.1751  0.8249
Y  0.0000  0.5926  0.9364
Y  0.0000  0.3537  0.6463
Y  0.0000  0.9364  0.5926
Y  0.0000  0.2389  0.2389
Y  0.0000  0.6463  0.3537
Tl  0.5000  0.5593  0.7357
Cd  0.5000  0.9726  0.8006
Y  0.0000  0.8249  0.1751
Y  0.0000  0.0636  0.4074
Tl  0.5000  0.7357  0.5593
Cd  0.5000  0.8556  0.3786

## Properties
* calculated formation energy: -319 meV per atom
* total magnetization: 1.0 μB/cell

(17)
Below is crystalline YTlCd at its relaxed geometry, with properties calculated at the PBE-GGA level.

Unit cell a=4.9531 b=6.1488 c=6.1843 alpha=90.34 beta=113.59 gamma=66.17
Atoms (fractional coordinates):
Y  0.9642  0.7181  0.5833
Tl  0.7318  0.2694  0.6681
Cd  0.2504  0.7605  0.1978
Tl  0.6962  0.6470  0.9758
Cd  0.1779  0.1556  0.4464
Y  0.4639  0.1982  0.0607

## Properties
* calculated formation energy: -281 meV per atom
* total magnetization: 0.0 μB/cell

(18)
Below is crystalline YTl2Cd2 at its relaxed geometry, with properties calculated at the PBE-GGA level.

Unit cell a=8.5331 b=8.5331 c=3.6828 alpha=90.00 beta=90.00 gamma=90.00
Atoms (fractional coordinates):
Cd  0.8370  0.3370  0.5000
Y  0.5000  0.5000  0.0000
Tl  0.3624  0.8624  0.0000
Tl  0.6376  0.1376  0.0000
Cd  0.3370  0.1630  0.5000
Tl  0.8624  0.6376  0.0000
Cd  0.6630  0.8370  0.5000
Cd  0.1630  0.6630  0.5000
Y  0.0000  0.0000  0.0000
Tl  0.1376  0.3624  0.0000

## Properties
* calculated formation energy: -24 meV per atom
* total magnetization: 0.9 μB/cell

(19)
Below is crystalline Y2TlCd2 at its relaxed geometry, with properties calculated at the PBE-GGA level.

Unit cell a=4.8812 b=4.8812 c=7.3260 alpha=70.54 beta=70.54 gamma=90.00
Atoms (fractional coordinates):
Cd  0.6030  0.6030  0.7940
Tl  0.0000  0.0000  0.0000
Y  0.7500  0.2500  0.5000
Cd  0.3970  0.3970  0.2060
Y  0.2500  0.7500  0.5000

## Properties
* calculated formation energy: 95 meV per atom
* total magnetization: 0.9 μB/cell

(20)
Below is crystalline YTl2Cd at its relaxed geometry, with properties calculated at the PBE-GGA level.

Unit cell a=5.5567 b=5.5567 c=5.7305 alpha=77.93 beta=77.93 gamma=39.13
Atoms (fractional coordinates):
Cd  0.2500  0.2500  0.2500
Y  0.7500  0.7500  0.7500
Tl  0.5060  0.5060  0.4910
Tl  0.9940  0.9940  0.0090

## Properties
* calculated formation energy: -136 meV per atom
* total magnetization: 0.0 μB/cell